MnHO2: optimized geometry, GGA+U.

Structure (POSCAR):
```
MnHO2
1.0
0.000 2.520 2.520
2.520 0.000 2.520
2.520 2.520 0.000
Mn H O
1 1 2
Direct
0.000 0.000 0.000 Mn
0.500 0.500 0.500 H
0.250 0.250 0.250 O
0.750 0.750 0.750 O
```

Calculated values
calculated total energy	-5.33	eV/atom
size of the total moment	4.0	μB per formula unit